# 1
CoHgGeH2 (GGA-PBE, optimized geometry); space-group type = No. 123; density of states at the Fermi level = 2.955 states/eV/cell; mass density = 8.05 g/cm3; raw total energy = -3.1744 eV/atom; M_tot = 0.49 Bohr magnetons per cell
1.0
3.4754 0.0000 0.0000
0.0000 3.4754 0.0000
0.0000 0.0000 5.7080
Co Hg Ge H
1 1 1 2
Direct
0.0000 0.0000 0.0000
0.0000 0.0000 0.5000
0.5000 0.5000 0.0000
0.0000 0.5000 0.5000
0.5000 0.0000 0.5000


# 2
HoCo2GeH (GGA-PBE, optimized geometry); space-group type = No. 63; density of states at the Fermi level = 10.886 states/eV/cell; mass density = 9.17 g/cm3; raw total energy = -5.8145 eV/atom; M_tot = 0.66 Bohr magnetons per cell
1.0
1.8336 -5.1121 0.0000
1.8336 5.1121 0.0000
0.0000 0.0000 6.8838
Ho Co Ge H
2 4 2 2
Direct
0.0555 0.9445 0.7500
0.9445 0.0555 0.2500
0.3422 0.6578 0.5560
0.3422 0.6578 0.9440
0.6578 0.3422 0.0560
0.6578 0.3422 0.4440
0.2255 0.7745 0.2500
0.7745 0.2255 0.7500
0.5000 0.5000 0.0000
0.5000 0.5000 0.5000


# 3
HoCoGeH (GGA-PBE, optimized geometry); space-group type = No. 129; density of states at the Fermi level = 4.187 states/eV/cell; mass density = 8.94 g/cm3; raw total energy = -5.5917 eV/atom; M_tot = 0.00 Bohr magnetons per cell
1.0
3.8949 0.0000 0.0000
0.0000 3.8949 0.0000
0.0000 0.0000 7.2861
Ho Co Ge H
2 2 2 2
Direct
0.2500 0.2500 0.1621
0.7500 0.7500 0.8379
0.2500 0.7500 0.5000
0.7500 0.2500 0.5000
0.2500 0.2500 0.6795
0.7500 0.7500 0.3205
0.2500 0.7500 0.0000
0.7500 0.2500 0.0000


# 4
LiCo2GeH (GGA-PBE, optimized geometry); space-group type = No. 123; density of states at the Fermi level = 3.172 states/eV/cell; mass density = 7.12 g/cm3; raw total energy = -5.0176 eV/atom; M_tot = 0.00 Bohr magnetons per cell
1.0
3.6831 0.0000 0.0000
0.0000 3.6831 0.0000
0.0000 0.0000 3.4115
Li Co Ge H
1 2 1 1
Direct
0.0000 0.0000 0.0000
0.0000 0.5000 0.5000
0.5000 0.0000 0.5000
0.5000 0.5000 0.0000
0.0000 0.0000 0.5000


# 5
Li2Co2Ge2H (GGA-PBE, optimized geometry); space-group type = No. 139; density of states at the Fermi level = 6.149 states/eV/cell; mass density = 5.31 g/cm3; raw total energy = -4.6235 eV/atom; M_tot = 0.00 Bohr magnetons per cell
1.0
-1.8603 1.8603 6.2865
1.8603 -1.8603 6.2865
1.8603 1.8603 -6.2865
Li Co Ge H
2 2 2 1
Direct
0.1629 0.1629 0.0000
0.8371 0.8371 0.0000
0.0000 0.5000 0.5000
0.5000 0.0000 0.5000
0.3789 0.3789 0.0000
0.6211 0.6211 0.0000
0.0000 0.0000 0.0000


# 6
Mg2CoGeH (GGA-PBE, optimized geometry); space-group type = No. 123; density of states at the Fermi level = 2.434 states/eV/cell; mass density = 4.50 g/cm3; raw total energy = -3.7013 eV/atom; M_tot = 0.00 Bohr magnetons per cell
1.0
4.5550 0.0000 0.0000
0.0000 4.5550 0.0000
0.0000 0.0000 3.2232
Mg Co Ge H
2 1 1 1
Direct
0.0000 0.5000 0.0000
0.5000 0.0000 0.0000
0.0000 0.0000 0.5000
0.5000 0.5000 0.5000
0.0000 0.0000 0.0000


# 7
Mn2CoGeH (GGA-PBE, optimized geometry); space-group type = No. 123; density of states at the Fermi level = 3.994 states/eV/cell; mass density = 8.02 g/cm3; raw total energy = -6.8167 eV/atom; M_tot = 5.21 Bohr magnetons per cell
1.0
3.7033 0.0000 0.0000
0.0000 3.7033 0.0000
0.0000 0.0000 3.6609
Mn Co Ge H
2 1 1 1
Direct
0.0000 0.5000 0.0000
0.5000 0.0000 0.0000
0.0000 0.0000 0.5000
0.5000 0.5000 0.5000
0.0000 0.0000 0.0000


# 8
Co2GeMoH (GGA-PBE, optimized geometry); space-group type = No. 123; density of states at the Fermi level = 6.344 states/eV/cell; mass density = 9.00 g/cm3; raw total energy = -6.5868 eV/atom; M_tot = 0.48 Bohr magnetons per cell
1.0
3.6736 0.0000 0.0000
0.0000 3.6736 0.0000
0.0000 0.0000 3.9308
Co Ge Mo H
2 1 1 1
Direct
0.0000 0.5000 0.0000
0.5000 0.0000 0.0000
0.0000 0.0000 0.5000
0.5000 0.5000 0.5000
0.5000 0.5000 0.0000


# 9
CoGeMo2H (GGA-PBE, optimized geometry); space-group type = No. 123; density of states at the Fermi level = 5.550 states/eV/cell; mass density = 9.09 g/cm3; raw total energy = -7.2338 eV/atom; M_tot = 1.13 Bohr magnetons per cell
1.0
3.9160 0.0000 0.0000
0.0000 3.9160 0.0000
0.0000 0.0000 3.8650
Co Ge Mo H
1 1 2 1
Direct
0.0000 0.0000 0.0000
0.5000 0.5000 0.0000
0.0000 0.5000 0.5000
0.5000 0.0000 0.5000
0.0000 0.0000 0.5000


# 10
NdCoGeH (GGA-PBE, optimized geometry); space-group type = No. 129; density of states at the Fermi level = 4.883 states/eV/cell; mass density = 7.46 g/cm3; raw total energy = -5.6031 eV/atom; M_tot = 0.00 Bohr magnetons per cell
1.0
3.9787 0.0000 0.0000
0.0000 3.9787 0.0000
0.0000 0.0000 7.7802
Nd Co Ge H
2 2 2 2
Direct
0.2500 0.2500 0.1690
0.7500 0.7500 0.8310
0.2500 0.7500 0.5000
0.7500 0.2500 0.5000
0.2500 0.2500 0.6628
0.7500 0.7500 0.3372
0.2500 0.7500 0.0000
0.7500 0.2500 0.0000


# 11
NdCoGeH2 (GGA-PBE, optimized geometry); space-group type = No. 63; density of states at the Fermi level = 3.736 states/eV/cell; mass density = 7.49 g/cm3; raw total energy = -5.1312 eV/atom; M_tot = 1.56 Bohr magnetons per cell
1.0
1.9470 -5.3412 0.0000
1.9470 5.3412 0.0000
0.0000 0.0000 5.9214
Nd Co Ge H
2 2 2 4
Direct
0.2088 0.7912 0.7500
0.7912 0.2088 0.2500
0.5000 0.5000 0.0000
0.5000 0.5000 0.5000
0.0673 0.9326 0.2500
0.9326 0.0673 0.7500
0.3511 0.6489 0.0516
0.3511 0.6489 0.4484
0.6489 0.3511 0.5516
0.6489 0.3511 0.9484


# 12
NdCo2GeH (GGA-PBE, optimized geometry); space-group type = No. 63; density of states at the Fermi level = 10.852 states/eV/cell; mass density = 8.10 g/cm3; raw total energy = -5.7847 eV/atom; M_tot = 0.94 Bohr magnetons per cell
1.0
1.9102 -5.2514 0.0000
1.9102 5.2514 0.0000
0.0000 0.0000 6.8622
Nd Co Ge H
2 4 2 2
Direct
0.0623 0.9377 0.7500
0.9377 0.0623 0.2500
0.3385 0.6615 0.5575
0.3385 0.6615 0.9425
0.6615 0.3385 0.0575
0.6615 0.3385 0.4425
0.2194 0.7806 0.2500
0.7806 0.2194 0.7500
0.5000 0.5000 0.0000
0.5000 0.5000 0.5000


# 13
NpCoGeH (GGA-PBE, optimized geometry); space-group type = No. 187; density of states at the Fermi level = 8.490 states/eV/cell; mass density = 11.31 g/cm3; raw total energy = -7.2995 eV/atom; M_tot = 2.56 Bohr magnetons per cell
1.0
4.1938 0.0000 0.0000
-2.0969 3.6320 0.0000
0.0000 0.0000 3.5621
Np Co Ge H
1 1 1 1
Direct
0.0000 0.0000 0.0000
0.6667 0.3333 0.5000
0.3333 0.6667 0.5000
0.6667 0.3333 0.0000


# 14
NpCoGeH2 (GGA-PBE, optimized geometry); space-group type = No. 63; density of states at the Fermi level = 11.898 states/eV/cell; mass density = 10.92 g/cm3; raw total energy = -6.5640 eV/atom; M_tot = 9.11 Bohr magnetons per cell
1.0
1.9391 -5.2023 0.0000
1.9391 5.2023 0.0000
0.0000 0.0000 5.5861
Np Co Ge H
2 2 2 4
Direct
0.2123 0.7877 0.7500
0.7877 0.2123 0.2500
0.5000 0.5000 0.0000
0.5000 0.5000 0.5000
0.0703 0.9297 0.2500
0.9297 0.0703 0.7500
0.3463 0.6537 0.0645
0.3463 0.6537 0.4355
0.6537 0.3463 0.5645
0.6537 0.3463 0.9355


# 15
Co2GeHOs (GGA-PBE, optimized geometry); space-group type = No. 123; density of states at the Fermi level = 5.760 states/eV/cell; mass density = 12.29 g/cm3; raw total energy = -6.5757 eV/atom; M_tot = 0.00 Bohr magnetons per cell
1.0
3.6684 0.0000 0.0000
0.0000 3.6684 0.0000
0.0000 0.0000 3.8327
Co Ge H Os
2 1 1 1
Direct
0.0000 0.5000 0.0000
0.5000 0.0000 0.0000
0.0000 0.0000 0.5000
0.5000 0.5000 0.0000
0.5000 0.5000 0.5000


# 16
PaCo2GeH2 (GGA-PBE, optimized geometry); space-group type = No. 11; density of states at the Fermi level = 6.922 states/eV/cell; mass density = 9.60 g/cm3; raw total energy = -6.0664 eV/atom; M_tot = 0.00 Bohr magnetons per cell
1.0
4.8010 0.0000 0.0000
0.0000 5.1826 0.0000
-1.2604 0.0000 5.8909
Pa Co Ge H
2 4 2 4
Direct
0.2265 0.2500 0.3411
0.7735 0.7500 0.6589
0.3290 0.0021 0.7725
0.3290 0.4979 0.7725
0.6710 0.5021 0.2275
0.6710 0.9979 0.2275
0.2532 0.7500 0.0862
0.7468 0.2500 0.9138
0.1135 0.2500 0.6910
0.2585 0.7500 0.5909
0.7415 0.2500 0.4091
0.8865 0.7500 0.3090


# 17
PaCo3GeH (GGA-PBE, optimized geometry); space-group type = No. 63; density of states at the Fermi level = 9.290 states/eV/cell; mass density = 10.57 g/cm3; raw total energy = -6.7937 eV/atom; M_tot = 0.00 Bohr magnetons per cell
1.0
2.6866 -5.2648 0.0000
2.6866 5.2648 0.0000
0.0000 0.0000 5.3483
Pa Co Ge H
2 6 2 2
Direct
0.2420 0.7580 0.7500
0.7580 0.2420 0.2500
0.2725 0.2725 0.0000
0.2725 0.2725 0.5000
0.3337 0.6663 0.2500
0.6663 0.3337 0.7500
0.7275 0.7275 0.0000
0.7275 0.7275 0.5000
0.1152 0.8848 0.2500
0.8848 0.1152 0.7500
0.4968 0.5032 0.7500
0.5032 0.4968 0.2500


# 18
PaCo4GeH6 (GGA-PBE, optimized geometry); space-group type = No. 191; density of states at the Fermi level = 8.899 states/eV/cell; mass density = 9.03 g/cm3; raw total energy = -5.3818 eV/atom; M_tot = 2.44 Bohr magnetons per cell
1.0
4.2247 0.0000 0.0000
-2.1124 3.6587 0.0000
0.0000 0.0000 6.4898
Pa Co Ge H
1 4 1 6
Direct
0.0000 0.0000 0.0000
0.3333 0.6667 0.3158
0.3333 0.6667 0.6842
0.6667 0.3333 0.3158
0.6667 0.3333 0.6842
0.0000 0.0000 0.5000
0.0000 0.5000 0.1478
0.0000 0.5000 0.8522
0.5000 0.0000 0.1478
0.5000 0.0000 0.8522
0.5000 0.5000 0.1478
0.5000 0.5000 0.8522


# 19
PaCoGeH (GGA-PBE, optimized geometry); space-group type = No. 187; density of states at the Fermi level = 1.413 states/eV/cell; mass density = 10.97 g/cm3; raw total energy = -6.7581 eV/atom; M_tot = 0.00 Bohr magnetons per cell
1.0
4.2101 0.0000 0.0000
-2.1050 3.6460 0.0000
0.0000 0.0000 3.5856
Pa Co Ge H
1 1 1 1
Direct
0.0000 0.0000 0.0000
0.6667 0.3333 0.5000
0.3333 0.6667 0.5000
0.6667 0.3333 0.0000


# 20
PaCoGeH2 (GGA-PBE, optimized geometry); space-group type = No. 63; density of states at the Fermi level = 8.137 states/eV/cell; mass density = 10.51 g/cm3; raw total energy = -5.9969 eV/atom; M_tot = 1.22 Bohr magnetons per cell
1.0
1.9537 -5.2077 0.0000
1.9537 5.2077 0.0000
0.0000 0.0000 5.6631
Pa Co Ge H
2 2 2 4
Direct
0.2146 0.7854 0.7500
0.7854 0.2146 0.2500
0.5000 0.5000 0.0000
0.5000 0.5000 0.5000
0.0696 0.9304 0.2500
0.9304 0.0696 0.7500
0.3440 0.6560 0.0672
0.3440 0.6560 0.4328
0.6560 0.3440 0.5672
0.6560 0.3440 0.9328